Below is an optimized crystal structure of CdSiTc2, with properties calculated at the PBE level.

The structure belongs to space group R3m (No. 160, hexagonal axes); the cell edges are 2.8477, 2.8477 and 27.3067 Å and the angles 90.00°, 90.00° and 120.00°. Symmetry generates all atoms from Cd at (0.0000, 0.0000, 0.0000), Si at (0.0000, 0.0000, 0.7600), Tc at (0.0000, 0.0000, 0.2420) and Tc at (0.0000, 0.0000, 0.5004).

---

Below is an optimized crystal structure of CdSiTc2, with properties calculated at the PBE level.

The structure belongs to space group P4/mmm (No. 123); the cell edges are 4.3968, 4.3968 and 3.1078 Å and the angles 90.00°, 90.00° and 90.00°. Symmetry generates all atoms from Cd at (0.0000, 0.0000, 0.0000), Si at (0.5000, 0.5000, 0.0000) and Tc at (0.0000, 0.5000, 0.5000).

---

Below is an optimized crystal structure of CdSiTc, with properties calculated at the PBE level.

The structure belongs to space group I4mm (No. 107); the cell edges are 3.2036, 3.2036 and 9.9164 Å and the angles 90.00°, 90.00° and 90.00°. Symmetry generates all atoms from Cd at (0.0000, 0.0000, 0.0000), Si at (0.0000, 0.0000, 0.7142) and Tc at (0.0000, 0.0000, 0.2994).

---

Below is an optimized crystal structure of CdSiTc2, with properties calculated at the PBE level.

The structure belongs to space group R-3m (No. 166, hexagonal axes); the cell edges are 2.8754, 2.8754 and 25.9188 Å and the angles 90.00°, 90.00° and 120.00°. Symmetry generates all atoms from Cd at (0.0000, 0.0000, 0.0000), Si at (0.0000, 0.0000, 0.5000) and Tc at (0.0000, 0.0000, 0.2398).

---

Below is an optimized crystal structure of CdSiTc, with properties calculated at the PBE level.

The structure belongs to space group P-6m2 (No. 187); the cell edges are 4.1190, 4.1190 and 3.4948 Å and the angles 90.00°, 90.00° and 120.00°. Symmetry generates all atoms from Cd at (0.0000, 0.0000, 0.0000), Si at (0.3333, 0.6667, 0.5000) and Tc at (0.6667, 0.3333, 0.5000).

---

Below is an optimized crystal structure of CdSiTc2, with properties calculated at the PBE level.

The structure belongs to space group Pm (No. 6); the cell edges are 2.9341, 4.2400 and 5.2983 Å and the angles 90.00°, 106.03° and 90.00°. Symmetry generates all atoms from Cd at (0.0000, 0.0000, 0.0000), Si at (0.6249, 0.5000, 0.2542), Tc at (0.3398, 0.5000, 0.6849) and Tc at (0.7436, 0.0000, 0.4773).

---

Number 1: D(E_F) 6.99 states/eV/cell, energy above the lowest structure with this stoichiometry 147.5 meV per atom, uncorrected formation energy 116 meV per atom. Number 2: D(E_F) 3.78 states/eV/cell, energy above the lowest structure with this stoichiometry 329.6 meV per atom, uncorrected formation energy 298 meV per atom. Number 3: D(E_F) 5.95 states/eV/cell, energy above the lowest structure with this stoichiometry 0.0 meV per atom, uncorrected formation energy 30 meV per atom. Number 4: D(E_F) 7.84 states/eV/cell, energy above the lowest structure with this stoichiometry 121.7 meV per atom, uncorrected formation energy 91 meV per atom. Number 5: D(E_F) 1.77 states/eV/cell, energy above the lowest structure with this stoichiometry 99.6 meV per atom, uncorrected formation energy 130 meV per atom. Number 6: D(E_F) 3.01 states/eV/cell, energy above the lowest structure with this stoichiometry 245.1 meV per atom, uncorrected formation energy 214 meV per atom.